Below is Sr2YTa after structural relaxation, with properties calculated at the PBE level.

The structure in POSCAR format:
```
Sr2YTa
1.0
-0.938 -1.938 -2.584
1.538 -2.624 1.437
-9.693 -2.661 5.516
Y Ta Sr
1 1 2
direct
0.500 0.500 0.750
0.500 0.500 0.250
0.000 0.000 0.033
0.000 0.000 0.467
```

Excess energy over the best structure of this formula in the dataset in eV per atom: 0.2626
Symmetry: No. 65
DFT formation energy in eV per atom: 0.814
Magnetization in μB/f.u.: 0.3
DOS(E_F) in states/eV per atom: 1.933

=====

Below is Ti5Nb2Fe2Re after structural relaxation, with properties calculated at the PBE level.

The structure in POSCAR format:
```
Ti5Nb2Fe2Re
1.0
-0.300 -1.942 2.387
3.500 -7.564 -5.715
9.429 2.147 2.932
Nb Ti Fe Re
4 10 4 2
direct
0.000 0.820 0.680
0.000 0.680 0.180
0.000 0.320 0.820
0.000 0.180 0.320
0.500 0.704 0.444
0.500 0.556 0.704
0.500 0.796 0.944
0.500 0.944 0.204
0.500 0.444 0.296
0.500 0.296 0.556
0.500 0.056 0.796
0.500 0.500 0.000
0.500 0.000 0.500
0.500 0.204 0.056
0.000 0.127 0.627
0.000 0.873 0.373
0.000 0.373 0.127
0.000 0.627 0.873
0.000 0.500 0.500
0.000 0.000 0.000
```

Symmetry: No. 127
DFT formation energy in eV per atom: -0.119
Magnetization in μB/f.u.: 0.0
DOS(E_F) in states/eV per atom: 1.172

=====

Please write out number 1 again, unchanged.
Below is Sr2YTa after structural relaxation, with properties calculated at the PBE level.

The structure in POSCAR format:
```
Sr2YTa
1.0
-0.938 -1.938 -2.584
1.538 -2.624 1.437
-9.693 -2.661 5.516
Y Ta Sr
1 1 2
direct
0.500 0.500 0.750
0.500 0.500 0.250
0.000 0.000 0.033
0.000 0.000 0.467
```

Excess energy over the best structure of this formula in the dataset in eV per atom: 0.2626
Symmetry: No. 65
DFT formation energy in eV per atom: 0.814
Magnetization in μB/f.u.: 0.3
DOS(E_F) in states/eV per atom: 1.933

=====

Please write out number 1 again, unchanged.
Below is Sr2YTa after structural relaxation, with properties calculated at the PBE level.

The structure in POSCAR format:
```
Sr2YTa
1.0
-0.938 -1.938 -2.584
1.538 -2.624 1.437
-9.693 -2.661 5.516
Y Ta Sr
1 1 2
direct
0.500 0.500 0.750
0.500 0.500 0.250
0.000 0.000 0.033
0.000 0.000 0.467
```

Excess energy over the best structure of this formula in the dataset in eV per atom: 0.2626
Symmetry: No. 65
DFT formation energy in eV per atom: 0.814
Magnetization in μB/f.u.: 0.3
DOS(E_F) in states/eV per atom: 1.933

=====

Please write out number 2 again, unchanged.
Below is Ti5Nb2Fe2Re after structural relaxation, with properties calculated at the PBE level.

The structure in POSCAR format:
```
Ti5Nb2Fe2Re
1.0
-0.300 -1.942 2.387
3.500 -7.564 -5.715
9.429 2.147 2.932
Nb Ti Fe Re
4 10 4 2
direct
0.000 0.820 0.680
0.000 0.680 0.180
0.000 0.320 0.820
0.000 0.180 0.320
0.500 0.704 0.444
0.500 0.556 0.704
0.500 0.796 0.944
0.500 0.944 0.204
0.500 0.444 0.296
0.500 0.296 0.556
0.500 0.056 0.796
0.500 0.500 0.000
0.500 0.000 0.500
0.500 0.204 0.056
0.000 0.127 0.627
0.000 0.873 0.373
0.000 0.373 0.127
0.000 0.627 0.873
0.000 0.500 0.500
0.000 0.000 0.000
```

Symmetry: No. 127
DFT formation energy in eV per atom: -0.119
Magnetization in μB/f.u.: 0.0
DOS(E_F) in states/eV per atom: 1.172

=====

Question: Among the records above, which one has the highest magnetization?
Answer: Sr2YTa